Compound: Tm2FeSi3
Source: the Alexandria database
Functional: PBE
Structure: optimized geometry

a = 5.584 Å, b = 5.584 Å, c = 7.945 Å
α = 109.80°, β = 109.80°, γ = 92.07°
Element x y z (fractional)
1 Si 0.342 0.829 0.171
2 Si 0.172 0.172 0.344
3 Si 0.171 0.658 0.829
4 Si 0.828 0.828 0.656
5 Si 0.658 0.171 0.829
6 Si 0.829 0.342 0.171
7 Tm 0.250 0.750 0.500
8 Tm 0.253 0.253 0.000
9 Tm 0.750 0.250 0.500
10 Tm 0.747 0.747 0.000
11 Fe 0.335 0.335 0.670
12 Fe 0.665 0.665 0.330

Energy relative to the elements, uncorrected   -0.626 eV/atom
Magnetization   2.13 μB/cell
Crystal system   orthorhombic
Symmetry   Fmmm (69)

Compound: Tm2Fe3Si4
Source: the Alexandria database
Functional: PBE
Structure: optimized geometry

a = 5.192 Å, b = 5.192 Å, c = 6.422 Å
α = 101.41°, β = 101.41°, γ = 120.71°
Element x y z (fractional)
1 Tm 0.636 0.636 0.271
2 Tm 0.364 0.364 0.729
3 Fe 0.000 0.500 0.000
4 Fe 0.500 0.000 0.000
5 Fe 0.000 0.000 0.000
6 Si 0.335 0.979 0.313
7 Si 0.979 0.335 0.313
8 Si 0.665 0.021 0.687
9 Si 0.021 0.665 0.687

Energy relative to the elements, uncorrected   -0.514 eV/atom
Magnetization   3.59 μB/cell
Crystal system   orthorhombic
Symmetry   Fmmm (69)